Entry 1:
Density functional theory data (GGA-PBEsol) for KReRh2 after structural relaxation.

Cell lengths 2.7344, 4.8242, 4.8242 Å; angles 90.00, 90.00, 90.00 degrees
Closest atoms and distances in Å follow each position.
Fractional positions:
K 0.5000 0.5000 0.5000  2 K 2.73, 8 Rh 2.77
Re 0.5000 0.0000 0.0000  2 Re 2.73, 8 Rh 2.77
Rh 0.0000 0.0000 0.5000  2 Rh 2.73, 4 Re 2.77, 4 K 2.77
Rh 0.0000 0.5000 0.0000  2 Rh 2.73, 4 Re 2.77, 4 K 2.77

Results
SG = No. 123

***

Entry 2:
Density functional theory data (GGA-PBEsol) for K2ReRh after structural relaxation.

Cell lengths 2.7454, 2.7454, 11.3528 Å; angles 90.00, 90.00, 117.46 degrees
Closest atoms and distances in Å follow each position.
Fractional positions:
K 0.0000 0.0000 0.2379  6 K 2.75-2.85, 2 Rh 3.05
K 0.0000 0.0000 0.7621  6 K 2.75-2.85, 2 Rh 3.05
Re 0.5000 0.5000 0.5000  6 Re 2.75-2.85
Rh 0.5000 0.5000 0.0000  6 Rh 2.75-2.85, 4 K 3.05

Results
ΔE to the lowest computed polymorph = 0.374 eV per atom
SG = No. 65

***

Entry 3:
Density functional theory data (GGA-PBEsol) for K2ReRh after structural relaxation.

Cell lengths 4.0412, 5.7398, 5.8506 Å; angles 119.38, 110.20, 90.00 degrees
Closest atoms and distances in Å follow each position.
Fractional positions:
K 0.9711 0.9711 0.9421  4 Rh 3.34-3.51, 4 K 3.42-3.48, 4 Re 3.63
K 0.7731 0.2731 0.5461  4 K 3.42-3.48, 4 Re 3.43-3.45, 4 Rh 3.60
Re 0.5689 0.5689 0.1377  2 Rh 2.30
Rh 0.1870 0.6870 0.3740  2 Re 2.30

Results
ΔE to the lowest computed polymorph = 0.408 eV per atom
SG = No. 44

***

Entry 4:
Density functional theory data (GGA-PBEsol) for K2ReRh after structural relaxation.

Cell lengths 2.8185, 4.2317, 10.2451 Å; angles 101.92, 97.91, 90.00 degrees
Closest atoms and distances in Å follow each position.
Fractional positions:
K 0.6416 0.6416 0.2831  2 K 2.82, 2 Rh 3.14
K 0.3584 0.3584 0.7169  2 K 2.82, 2 Rh 3.14
Re 0.5000 0.0000 0.0000  4 Rh 2.54, 2 Re 2.82
Rh 0.0000 0.5000 0.0000  4 Re 2.54, 2 Rh 2.82

Results
ΔE to the lowest computed polymorph = 0.045 eV per atom
SG = No. 71

***

Entry 5:
Density functional theory data (GGA-PBEsol) for K2ReRh after structural relaxation.

Cell lengths 4.8316, 4.8316, 4.8316 Å; angles 60.00, 60.00, 60.00 degrees
Closest atoms and distances in Å follow each position.
Fractional positions:
K 0.0000 0.0000 0.0000  4 K 2.96, 4 Rh 2.96
K 0.7500 0.7500 0.7500  4 Re 2.96, 4 K 2.96
Re 0.5000 0.5000 0.5000  4 Rh 2.96, 4 K 2.96
Rh 0.2500 0.2500 0.2500  4 Re 2.96, 4 K 2.96

Results
ΔE to the lowest computed polymorph = 0.904 eV per atom
SG = No. 216

***

Entry 6:
Density functional theory data (GGA-PBEsol) for KRe3Rh after structural relaxation.

Cell lengths 4.3504, 4.3504, 4.3504 Å; angles 90.00, 90.00, 90.00 degrees
Closest atoms and distances in Å follow each position.
Fractional positions:
Re 0.0000 0.5000 0.0000  2 K 2.18
Re 0.0000 0.0000 0.5000  2 K 2.18
Re 0.5000 0.0000 0.0000  2 K 2.18
K 0.0000 0.0000 0.0000  6 Re 2.18
Rh 0.5000 0.5000 0.5000  12 Re 3.08

Results
SG = No. 221

***

Entry 7:
Density functional theory data (GGA-PBEsol) for K2ReRh after structural relaxation.

Cell lengths 3.1038, 3.1038, 10.8072 Å; angles 90.00, 90.00, 90.00 degrees
Closest atoms and distances in Å follow each position.
Fractional positions:
K 0.0000 0.0000 0.9203  4 K 3.10, 4 Rh 3.37
K 0.5000 0.5000 0.3246  4 K 3.10, 4 Re 3.45
Re 0.0000 0.0000 0.5711  4 Rh 2.51
Rh 0.5000 0.5000 0.6841  4 Re 2.51

Results
ΔE to the lowest computed polymorph = 0.000 eV per atom
SG = No. 99

***

Entry 8:
Density functional theory data (GGA-PBEsol) for KReRu2 after structural relaxation.

Cell lengths 2.7307, 4.6668, 4.9975 Å; angles 90.00, 90.00, 90.00 degrees
Closest atoms and distances in Å follow each position.
Fractional positions:
K 0.5000 0.5000 0.0000  4 Ru 2.70, 2 K 2.73, 4 Re 2.85
Re 0.0000 0.5000 0.5000  4 Ru 2.70, 2 Re 2.73, 4 K 2.85
Ru 0.0000 0.0000 0.0000  4 K 2.70, 6 Ru 2.73-2.85
Ru 0.5000 0.0000 0.5000  4 Re 2.70, 6 Ru 2.73-2.85

Results
SG = No. 47

***

no.,energy relative to the elements (eV/atom)
1,0.965
2,1.148
3,1.181
4,0.819
5,1.678
6,3.748
7,0.774
8,1.668